Record 1
Y4Tm5In2: optimized geometry, PBE.

Cell lengths 5.178, 5.178, 15.829 Å; angles 80.59, 80.59, 60.00 degrees
Element x y z (fractional)
Y 0.726 0.726 0.823
Y 0.572 0.572 0.283
Y 0.428 0.428 0.717
Y 0.274 0.274 0.177
Tm 0.803 0.803 0.592
Tm 0.648 0.648 0.056
Tm 0.500 0.500 0.500
Tm 0.352 0.352 0.944
Tm 0.197 0.197 0.408
In 0.121 0.121 0.636
In 0.879 0.879 0.364

## Properties
* calculated volume: 361.00 Å³ per cell
* E_tot: -51.5 eV/cell
* symmetry: R-3m, No. 166
* formation enthalpy at 0 K: 0.1985 eV per atom

Record 2
Y2Tm2In: optimized geometry, PBE.

Cell lengths 5.125, 5.125, 8.893 Å; angles 73.25, 73.25, 60.00 degrees
Element x y z (fractional)
Y 0.567 0.567 0.300
Y 0.433 0.433 0.700
Tm 0.301 0.301 0.097
Tm 0.699 0.699 0.903
In 0.000 0.000 0.000

## Properties
* polymorph energy (0 for the lowest one): 0.653 eV/atom
* calculated volume: 190.79 Å³ per cell
* E_tot: -22.2 eV/cell
* symmetry: R-3m, No. 166
* formation enthalpy at 0 K: 0.4831 eV per atom

Record 3
Y2Tm2In3: optimized geometry, PBE.

Cell lengths 3.458, 3.498, 16.045 Å; angles 89.99, 83.81, 90.00 degrees
Element x y z (fractional)
Y 0.568 0.500 0.864
Y 0.432 0.500 0.136
Tm 0.702 0.500 0.596
Tm 0.298 0.500 0.404
In 0.863 0.000 0.274
In 0.000 0.000 0.000
In 0.137 0.000 0.726

## Properties
* calculated volume: 192.99 Å³ per cell
* E_tot: -32.4 eV/cell
* symmetry: Cmmm, No. 65
* formation enthalpy at 0 K: -0.3370 eV per atom

Record 4
Y2Tm3In: optimized geometry, PBE.

Cell lengths 6.119, 6.957, 9.051 Å; angles 89.98, 109.74, 90.00 degrees
Each line ends with the local moment (μB).
Element x y z (fractional)
Y 0.709 0.750 0.372  0.09
Y 0.663 0.250 0.372  0.09
Y 0.337 0.750 0.628  0.09
Y 0.291 0.250 0.628  0.09
Tm 0.685 0.250 0.000  0.02
Tm 0.315 0.750 0.000  0.02
Tm 0.137 0.000 0.274  0.12
Tm 0.863 0.500 0.726  0.12
Tm 0.137 0.500 0.274  0.12
Tm 0.863 0.000 0.726  0.12
In 0.802 0.750 0.000  0.00
In 0.198 0.250 0.000  0.00

## Properties
* polymorph energy (0 for the lowest one): 0.059 eV/atom
* calculated volume: 362.64 Å³ per cell
* E_tot: -59.4 eV/cell
* symmetry: Cmcm, No. 63
* formation enthalpy at 0 K: -0.1030 eV per atom

Record 5
Y6Tm3In: optimized geometry, PBE.

Cell lengths 8.770, 8.770, 8.770 Å; angles 78.92, 78.92, 78.92 degrees
Element x y z (fractional)
Y 0.282 0.919 0.282
Y 0.081 0.718 0.718
Y 0.534 0.825 0.532
Y 0.718 0.718 0.081
Y 0.532 0.534 0.825
Y 0.175 0.468 0.466
Y 0.825 0.532 0.534
Y 0.468 0.466 0.175
Y 0.282 0.282 0.919
Y 0.466 0.175 0.468
Y 0.919 0.282 0.282
Y 0.718 0.081 0.718
Tm 0.371 0.898 0.896
Tm 0.898 0.896 0.371
Tm 0.104 0.629 0.102
Tm 0.896 0.371 0.898
Tm 0.102 0.104 0.629
Tm 0.629 0.102 0.104
In 0.000 0.000 0.000
In 0.500 0.500 0.500

## Properties
* calculated volume: 641.09 Å³ per cell
* E_tot: -106.9 eV/cell
* symmetry: R-3, No. 148
* formation enthalpy at 0 K: 0.1507 eV per atom

Record 6
Y2Tm3In4: optimized geometry, PBE.

Cell lengths 5.229, 5.225, 10.215 Å; angles 90.07, 90.01, 59.97 degrees
Element x y z (fractional)
Y 0.333 0.334 0.776
Y 0.667 0.666 0.224
Tm 0.333 0.333 0.427
Tm 0.000 0.000 0.000
Tm 0.667 0.667 0.573
In 0.667 0.667 0.899
In 0.000 0.000 0.345
In 0.000 0.000 0.655
In 0.333 0.333 0.101

## Properties
* polymorph energy (0 for the lowest one): 0.000 eV/atom
* calculated volume: 241.62 Å³ per cell
* E_tot: -41.0 eV/cell
* symmetry: C2/m, No. 12
* formation enthalpy at 0 K: -0.4122 eV per atom

Question: Among the records above, which one has the lowest E_tot?
Answer: Y6Tm3In

Question: Among the records above, which one has the lowest E_tot?
Answer: Y6Tm3In

Question: Which of these has the lowest E_tot?
Answer: Y6Tm3In

Question: What is the E_tot in the second record?
Answer: -22.2 eV/cell